1 | AsAu2Br after structural relaxation. Source: Alexandria, functional PBE-GGA.

Cell and atoms, written as POSCAR:
```
AsAu2Br
1.0
-6.023 0.266 1.502
-2.501 -1.275 5.543
4.568 3.173 -2.771
Br Au As
1 2 1
direct
0.250 0.750 0.500
0.500 0.500 0.000
0.000 0.000 0.000
0.750 0.250 0.500
```

Results
Density of states at the Fermi level in states/eV/atom: 0.5098
Total magnetization in μB/f.u.: 0.0

---

2 | AsAu2Br after structural relaxation. Source: Alexandria, functional PBE-GGA.

Cell and atoms, written as POSCAR:
```
AsAu2Br
1.0
6.417 0.021 -0.031
5.650 3.042 -0.031
1.771 0.450 4.352
As Au Br
1 2 1
direct
0.750 0.750 0.750
0.039 0.039 0.960
0.461 0.461 0.540
0.250 0.250 0.250
```

Results
Density of states at the Fermi level in states/eV/atom: 0.2353
Total magnetization in μB/f.u.: 0.0

---

The structure with the most favorable energy is 2; the runner-up is 13.5 kJ/mol of atoms above it.

---

1 | AsAu2Br after structural relaxation. Source: Alexandria, functional PBE-GGA.

Cell and atoms, written as POSCAR:
```
AsAu2Br
1.0
3.696 0.000 0.000
0.000 3.855 -0.046
0.000 0.490 7.103
Br As Au
1 1 2
direct
0.000 0.376 0.466
0.500 0.672 0.860
0.500 0.400 0.192
0.000 0.053 0.982
```

Results
Density of states at the Fermi level in states/eV/atom: 0.0582
Total magnetization in μB/f.u.: 0.0

---

2 | AsAu2Br after structural relaxation. Source: Alexandria, functional PBE-GGA.

Cell and atoms, written as POSCAR:
```
AsAu2Br
1.0
5.287 0.000 0.000
0.000 3.998 0.000
0.000 0.000 3.998
Au As Br
2 1 1
direct
0.000 0.000 0.000
0.000 0.500 0.500
0.500 0.000 0.500
0.500 0.500 0.000
```

Results
Density of states at the Fermi level in states/eV/atom: 0.4394
Total magnetization in μB/f.u.: 0.0

---

The structure with the most favorable energy is 1; the runner-up is 42.8 kJ/mol of atoms above it.

---

1 | AsAu2Br after structural relaxation. Source: Alexandria, functional PBE-GGA.

Cell and atoms, written as POSCAR:
```
AsAu2Br
1.0
4.879 0.000 0.000
2.439 4.225 0.000
2.439 1.408 3.983
As Br Au
1 1 2
direct
0.500 0.500 0.500
0.750 0.750 0.750
0.250 0.250 0.250
0.000 0.000 0.000
```

Results
Density of states at the Fermi level in states/eV/atom: 0.7138
Total magnetization in μB/f.u.: 0.0

---

2 | AsAu2Br after structural relaxation. Source: Alexandria, functional PBE-GGA.

Cell and atoms, written as POSCAR:
```
AsAu2Br
1.0
-1.780 -1.269 -7.134
-4.894 -2.299 -5.142
2.838 5.442 5.346
Br Au As
1 2 1
direct
0.432 0.432 0.000
0.078 0.078 0.000
0.800 0.300 0.500
0.190 0.690 0.500
```

Results
Density of states at the Fermi level in states/eV/atom: 0.2695
Total magnetization in μB/f.u.: 0.0

---

3 | AsAu2Br after structural relaxation. Source: Alexandria, functional PBE-GGA.

Cell and atoms, written as POSCAR:
```
AsAu2Br
1.0
3.552 0.000 0.000
0.000 3.548 0.000
0.000 0.000 7.269
Br Au As
1 2 1
direct
0.000 0.000 0.448
0.500 0.500 0.208
0.000 0.000 0.990
0.500 0.500 0.854
```

Results
Density of states at the Fermi level in states/eV/atom: 0.2880
Total magnetization in μB/f.u.: 0.0

---

The structure with the most favorable energy is 2; the runner-up is 2.8 kJ/mol of atoms above it.

---

1 | As2AuBr after structural relaxation. Source: Alexandria, functional PBE-GGA.

Cell and atoms, written as POSCAR:
```
As2AuBr
1.0
3.716 0.000 0.000
0.000 3.716 0.000
0.000 0.000 6.664
As Au Br
2 1 1
direct
0.000 0.000 0.071
0.000 0.000 0.429
0.500 0.500 0.250
0.500 0.500 0.750
```

Results
Density of states at the Fermi level in states/eV/atom: 0.3649
Total magnetization in μB/f.u.: 0.0

---

2 | As2AuBr after structural relaxation. Source: Alexandria, functional PBE-GGA.

Cell and atoms, written as POSCAR:
```
As2AuBr
1.0
-4.209 -4.772 2.815
5.423 -2.826 3.318
-0.110 -1.138 6.505
Au As Br
2 4 2
direct
0.750 0.250 0.500
0.000 0.000 0.000
0.078 0.625 0.250
0.375 0.328 0.750
0.875 0.922 0.750
0.672 0.125 0.250
0.250 0.750 0.500
0.500 0.500 0.000
```

Results
Density of states at the Fermi level in states/eV/atom: 0.0651
Total magnetization in μB/f.u.: 0.0

---

The structure with the most favorable energy is 1; the runner-up is 13.0 kJ/mol of atoms above it.

---

1 | AsAuBr after structural relaxation. Source: Alexandria, functional PBE-GGA.

Cell and atoms, written as POSCAR:
```
AsAuBr
1.0
-0.681 0.871 -3.521
-5.245 -6.334 -0.585
-6.579 1.932 -0.175
As Au Br
2 2 2
direct
0.030 0.662 0.938
0.970 0.338 0.062
0.667 0.711 0.661
0.333 0.289 0.339
0.681 0.215 0.647
0.319 0.785 0.353
```

Results
Density of states at the Fermi level in states/eV/atom: 0.0750
Total magnetization in μB/f.u.: 0.0

---

2 | AsAuBr after structural relaxation. Source: Alexandria, functional PBE-GGA.

Cell and atoms, written as POSCAR:
```
AsAuBr
1.0
3.859 0.000 0.000
-1.930 3.342 0.000
0.000 0.000 5.443
As Au Br
1 1 1
direct
0.000 0.000 0.054
0.667 0.333 0.296
0.333 0.667 0.650
```

Results
Density of states at the Fermi level in states/eV/atom: 0.5427
Total magnetization in μB/f.u.: 0.0

---

3 | AsAuBr after structural relaxation. Source: Alexandria, functional PBE-GGA.

Cell and atoms, written as POSCAR:
```
AsAuBr
1.0
6.320 0.024 0.000
4.468 4.469 0.000
-5.394 -2.247 2.408
Br As Au
1 1 1
direct
0.346 0.346 0.000
0.023 0.023 0.000
0.630 0.630 0.000
```

Results
Density of states at the Fermi level in states/eV/atom: 0.3700
Total magnetization in μB/f.u.: 0.0

---

The structure with the most favorable energy is 1; the runner-up is 20.8 kJ/mol of atoms above it.

---

1 | AsAuBr after structural relaxation. Source: Alexandria, functional PBE-GGA.

Cell and atoms, written as POSCAR:
```
AsAuBr
1.0
-6.772 1.368 3.759
-4.475 -0.916 5.745
-0.482 3.688 0.773
Au Br As
1 1 1
direct
0.662 0.662 0.338
0.296 0.296 0.704
0.042 0.042 0.958
```

Results
Density of states at the Fermi level in states/eV/atom: 0.5148
Total magnetization in μB/f.u.: 0.0

---

2 | AsAuBr after structural relaxation. Source: Alexandria, functional PBE-GGA.

Cell and atoms, written as POSCAR:
```
AsAuBr
1.0
6.419 0.022 -0.035
4.191 4.862 0.035
-5.293 -2.467 2.664
As Br Au
1 1 1
direct
0.895 0.895 0.000
0.689 0.689 0.000
0.416 0.416 0.000
```

Results
Density of states at the Fermi level in states/eV/atom: 0.3826
Total magnetization in μB/f.u.: 0.0

---

The structure with the most favorable energy is 2; the runner-up is 17.1 kJ/mol of atoms above it.

---

1 | CaAs2AuBr after structural relaxation. Source: Alexandria, functional PBE-GGA.

Cell and atoms, written as POSCAR:
```
CaAs2AuBr
1.0
-0.851 2.460 4.157
-2.926 -3.621 1.543
4.915 -2.829 2.681
As Ca Au Br
2 1 1 1
direct
0.000 0.500 0.000
0.500 0.000 0.000
0.500 0.500 0.500
0.000 0.000 0.000
0.000 0.000 0.500
```

Results
Density of states at the Fermi level in states/eV/atom: 0.9219
Total magnetization in μB/f.u.: 1.0

---

2 | CaAs2AuBr after structural relaxation. Source: Alexandria, functional PBE-GGA.

Cell and atoms, written as POSCAR:
```
CaAs2AuBr
1.0
-3.255 -3.737 -2.625
4.395 -1.690 -3.045
1.175 -3.631 3.712
Br As Au Ca
1 2 1 1
direct
0.000 0.000 0.500
0.500 0.000 0.000
0.000 0.500 0.000
0.500 0.500 0.500
0.000 0.000 0.000
```

Results
Density of states at the Fermi level in states/eV/atom: 1.1058
Total magnetization in μB/f.u.: 1.5

---

The structure with the most favorable energy is 1; the runner-up is 54.4 kJ/mol of atoms above it.

---

1 | CaAsAuBr2 after structural relaxation. Source: Alexandria, functional PBE-GGA.

Cell and atoms, written as POSCAR:
```
CaAsAuBr2
1.0
5.372 0.000 0.000
0.000 5.372 0.000
0.000 0.000 6.778
Br Au As Ca
2 1 1 1
direct
0.500 0.000 0.000
0.000 0.500 0.000
0.500 0.500 0.500
0.000 0.000 0.500
0.000 0.000 0.000
```

Results
Density of states at the Fermi level in states/eV/atom: 0.1821
Total magnetization in μB/f.u.: 2.0

---

2 | CaAsAuBr2 after structural relaxation. Source: Alexandria, functional PBE-GGA.

Cell and atoms, written as POSCAR:
```
CaAsAuBr2
1.0
5.354 0.000 0.000
0.000 5.354 0.000
0.000 0.000 5.153
Br As Au Ca
2 1 1 1
direct
0.500 0.000 0.000
0.000 0.500 0.000
0.000 0.000 0.500
0.000 0.000 0.000
0.500 0.500 0.500
```

Results
Density of states at the Fermi level in states/eV/atom: 0.8366
Total magnetization in μB/f.u.: 1.1

---

The structure with the most favorable energy is 2; the runner-up is 19.1 kJ/mol of atoms above it.

---

1 | CuAs2AuBr after structural relaxation. Source: Alexandria, functional PBE-GGA.

Cell and atoms, written as POSCAR:
```
CuAs2AuBr
1.0
-0.487 1.915 -4.317
0.258 -4.322 -1.946
-4.915 -0.453 0.353
As Au Cu Br
2 1 1 1
direct
0.000 0.500 0.000
0.500 0.000 0.000
0.500 0.500 0.500
0.000 0.000 0.000
0.000 0.000 0.500
```

Results
Density of states at the Fermi level in states/eV/atom: 0.8800
Total magnetization in μB/f.u.: 0.1

---

2 | CuAs2AuBr after structural relaxation. Source: Alexandria, functional PBE-GGA.

Cell and atoms, written as POSCAR:
```
CuAs2AuBr
1.0
-0.745 -3.743 -3.273
2.440 -3.115 3.006
-4.316 -1.157 2.305
Br Au As Cu
1 1 2 1
direct
0.500 0.500 0.500
0.000 0.000 0.000
0.500 0.000 0.000
0.000 0.000 0.500
0.000 0.500 0.000
```

Results
Density of states at the Fermi level in states/eV/atom: 1.0707
Total magnetization in μB/f.u.: 0.3

---

The structure with the most favorable energy is 1; the runner-up is 3.6 kJ/mol of atoms above it.

---

1 | AsAuBr2F after structural relaxation. Source: Alexandria, functional PBE-GGA.

Cell and atoms, written as POSCAR:
```
AsAuBr2F
1.0
-4.197 1.038 3.592
-3.645 0.068 -4.279
-0.568 -3.764 0.424
As Br F Au
1 2 1 1
direct
0.000 0.000 0.500
0.500 0.000 0.000
0.000 0.500 0.000
0.000 0.000 0.000
0.500 0.500 0.500
```

Results
Density of states at the Fermi level in states/eV/atom: 0.2926
Total magnetization in μB/f.u.: 0.0

---

2 | AsAuBr2F after structural relaxation. Source: Alexandria, functional PBE-GGA.

Cell and atoms, written as POSCAR:
```
AsAuBr2F
1.0
5.252 0.000 0.000
0.000 5.252 0.000
0.000 0.000 4.981
Br As Au F
2 1 1 1
direct
0.000 0.500 0.000
0.500 0.000 0.000
0.000 0.000 0.500
0.000 0.000 0.000
0.500 0.500 0.500
```

Results
Density of states at the Fermi level in states/eV/atom: 1.0207
Total magnetization in μB/f.u.: 0.3

---

The structure with the most favorable energy is 1; the runner-up is 13.8 kJ/mol of atoms above it.

---

1 | AsHAuBr2 after structural relaxation. Source: Alexandria, functional PBE-GGA.

Cell and atoms, written as POSCAR:
```
AsHAuBr2
1.0
-1.691 4.628 2.475
-2.515 -2.997 3.886
4.056 0.055 2.668
Br Au As H
2 1 1 1
direct
0.500 0.000 0.000
0.000 0.500 0.000
0.000 0.000 0.000
0.000 0.000 0.500
0.500 0.500 0.500
```

Results
Density of states at the Fermi level in states/eV/atom: 0.5766
Total magnetization in μB/f.u.: 1.5

---

2 | AsHAuBr2 after structural relaxation. Source: Alexandria, functional PBE-GGA.

Cell and atoms, written as POSCAR:
```
AsHAuBr2
1.0
5.313 0.000 0.000
0.000 5.313 0.000
0.000 0.000 3.463
Br As Au H
2 1 1 1
direct
0.500 0.000 0.000
0.000 0.500 0.000
0.000 0.000 0.500
0.500 0.500 0.500
0.000 0.000 0.000
```

Results
Density of states at the Fermi level in states/eV/atom: 0.5049
Total magnetization in μB/f.u.: 0.0

---

The structure with the most favorable energy is 2; the runner-up is 21.3 kJ/mol of atoms above it.

---

1 | InAs2AuBr after structural relaxation. Source: Alexandria, functional PBE-GGA.

Cell and atoms, written as POSCAR:
```
InAs2AuBr
1.0
4.954 0.000 0.000
0.000 4.954 0.000
0.000 0.000 6.464
In Br Au As
1 1 1 2
direct
0.500 0.500 0.500
0.000 0.000 0.500
0.000 0.000 0.000
0.500 0.000 0.000
0.000 0.500 0.000
```

Results
Density of states at the Fermi level in states/eV/atom: 0.9053
Total magnetization in μB/f.u.: 1.5

---

2 | InAs2AuBr after structural relaxation. Source: Alexandria, functional PBE-GGA.

Cell and atoms, written as POSCAR:
```
InAs2AuBr
1.0
5.329 0.000 0.000
0.000 5.329 0.000
0.000 0.000 5.342
As In Br Au
2 1 1 1
direct
0.500 0.000 0.000
0.000 0.500 0.000
0.000 0.000 0.000
0.000 0.000 0.500
0.500 0.500 0.500
```

Results
Density of states at the Fermi level in states/eV/atom: 0.6673
Total magnetization in μB/f.u.: 1.5

---

The structure with the most favorable energy is 1; the runner-up is 37.4 kJ/mol of atoms above it.

---

1 | LaAs2AuBr after structural relaxation. Source: Alexandria, functional PBE-GGA.

Cell and atoms, written as POSCAR:
```
LaAs2AuBr
1.0
-1.480 -1.811 -4.489
-3.212 -3.144 2.327
-3.752 3.658 -0.238
La Au As Br
1 1 2 1
direct
0.500 0.500 0.500
0.000 0.000 0.000
0.000 0.500 0.000
0.500 0.000 0.000
0.000 0.000 0.500
```

Results
Density of states at the Fermi level in states/eV/atom: 0.5527
Total magnetization in μB/f.u.: 0.0

---

2 | LaAs2AuBr after structural relaxation. Source: Alexandria, functional PBE-GGA.

Cell and atoms, written as POSCAR:
```
LaAs2AuBr
1.0
5.866 0.000 0.000
0.000 5.866 0.000
0.000 0.000 5.668
Au La Br As
1 1 1 2
direct
0.500 0.500 0.500
0.000 0.000 0.000
0.000 0.000 0.500
0.500 0.000 0.000
0.000 0.500 0.000
```

Results
Density of states at the Fermi level in states/eV/atom: 0.6592
Total magnetization in μB/f.u.: 1.3

---

The structure with the most favorable energy is 1; the runner-up is 56.1 kJ/mol of atoms above it.

---

1 | AsAuBr2N after structural relaxation. Source: Alexandria, functional PBE-GGA.

Cell and atoms, written as POSCAR:
```
AsAuBr2N
1.0
5.164 0.000 0.000
0.000 5.164 0.000
0.000 0.000 5.122
N Au As Br
1 1 1 2
direct
0.500 0.500 0.500
0.000 0.000 0.000
0.000 0.000 0.500
0.000 0.500 0.000
0.500 0.000 0.000
```

Results
Density of states at the Fermi level in states/eV/atom: 1.9970
Total magnetization in μB/f.u.: 0.0

---

2 | AsAuBr2N after structural relaxation. Source: Alexandria, functional PBE-GGA.

Cell and atoms, written as POSCAR:
```
AsAuBr2N
1.0
4.526 0.000 0.000
0.000 4.526 0.000
0.000 0.000 4.716
As Au N Br
1 1 1 2
direct
0.000 0.000 0.500
0.500 0.500 0.500
0.000 0.000 0.000
0.000 0.500 0.000
0.500 0.000 0.000
```

Results
Density of states at the Fermi level in states/eV/atom: 0.4972
Total magnetization in μB/f.u.: 0.0

---

The structure with the most favorable energy is 2; the runner-up is 59.7 kJ/mol of atoms above it.